P.
4
Lattice="3.044 0.000 0.000 0.000 4.022 0.000 -0.025 0.000 5.491" Properties=species:S:1:pos:R:3 comment="Tc2TeW | the Alexandria database | GGA-PBE | optimized geometry" magnetic_moment_mub_per_cell=0.000 pbc="T T T"
Tc -0.003 0.000 1.267
Tc 3.022 0.000 4.224
Te 1.510 2.011 2.745
W 1.522 2.011 0.000



Q.
4
Lattice="1.528 0.882 8.515 -1.528 0.882 8.515 0.000 -1.764 8.515" Properties=species:S:1:pos:R:3 comment="Tc2TeW | the Alexandria database | GGA-PBE | optimized geometry" magnetic_moment_mub_per_cell=0.000 pbc="T T T"
Tc 0.000 0.000 6.252
Tc 0.000 0.000 19.294
Te 0.000 0.000 0.000
W 0.000 0.000 12.773



Which structure is most stable? Q, by 83 meV per atom over the runner-up.